# 1
First-principles (PBE) data for a relaxed LiAlSi2 crystal, as listed in Alexandria via LeMat-Bulk.

Unit cell a=8.8162 b=2.7962 c=4.8184 alpha=90.00 beta=98.38 gamma=90.00
Closest atoms and distances in Å follow each position.
Space group C2/m (No. 12)
One atom of each set of equivalent atoms:
Li: 0.0000 0.0000 0.0000 (multiplicity 2)  6 Si 2.68-2.72, 4 Al 2.79, 2 Li 2.80
Al: 0.0000 0.5000 0.5000 (multiplicity 2)  6 Si 2.64-2.76, 4 Li 2.79, 2 Al 2.80
Si: 0.2471 0.5000 0.2495 (multiplicity 4)  3 Al 2.64-2.76, 3 Li 2.68-2.72, 6 Si 2.78-2.80

Output
uncorrected energy = -32.61 eV per cell
D(E_F) = 0.9 states/eV/f.u.


# 2
First-principles (PBE) data for a relaxed Li12Al3Si4 crystal, as listed in Alexandria via LeMat-Bulk.

Unit cell a=10.4981 b=10.4981 c=10.4981 alpha=90.00 beta=90.00 gamma=90.00
Closest atoms and distances in Å follow each position.
Space group I-43d (No. 220)
One atom of each set of equivalent atoms:
Li: 0.0380 0.1158 0.6524 (multiplicity 48)  4 Li 2.60-2.90, 3 Si 2.63-2.75, 2 Al 2.74-2.76
Al: 0.0000 0.2500 0.8750 (multiplicity 12)  8 Li 2.74-2.76, 4 Si 2.84
Si: 0.0463 0.0463 0.0463 (multiplicity 16)  9 Li 2.63-2.75, 3 Al 2.84

Output
uncorrected energy = -234.52 eV per cell
D(E_F) = 5.5 states/eV/f.u.